InRe2B | PBE | optimized geometry

a b c (Å): 4.064 4.064 8.848
angles (deg): 76.72 76.72 90.00
Fractional coordinates of all 8 atoms:
Re (0.375, 0.472, 0.750)
Re (0.875, 0.778, 0.750)
Re (0.528, 0.125, 0.250)
B (0.250, 0.750, 0.500)
In (0.750, 0.250, 0.500)
B (0.500, 0.500, 0.000)
Re (0.222, 0.625, 0.250)
In (0.000, 0.000, 0.000)

Properties
The space group is No. 122. The calculation puts the calculated total energy at -7.566 eV per atom. The density of states at the Fermi level is 1.20 states/eV/f.u. As for the offset from the most stable computed form: 0.000 eV/atom. The calculation puts the density at 11965 kg/m³. For the formation enthalpy at 0 K, the calculation gives 4.05 eV/f.u.

***

In2ReB | PBE | optimized geometry

a b c (Å): 8.638 8.638 6.461
angles (deg): 48.05 48.05 90.00
Fractional coordinates of all 8 atoms:
In (0.875, 0.734, 0.750)
Re (0.000, 0.000, 0.000)
B (0.500, 0.500, 0.000)
In (0.484, 0.125, 0.250)
B (0.250, 0.750, 0.500)
In (0.266, 0.625, 0.250)
In (0.375, 0.516, 0.750)
Re (0.750, 0.250, 0.500)

Properties
The space group is No. 122. The calculation puts the calculated total energy at -5.265 eV per atom. The density of states at the Fermi level is 2.30 states/eV/f.u. The calculation puts the density at 9018 kg/m³. For the formation enthalpy at 0 K, the calculation gives 3.54 eV/f.u.

***

InRe2B | PBE | optimized geometry

a b c (Å): 4.324 4.324 4.324
angles (deg): 60.00 60.00 60.00
Fractional coordinates of all 4 atoms:
B (0.000, 0.000, 0.000)
In (0.500, 0.500, 0.500)
Re (0.750, 0.750, 0.750)
Re (0.250, 0.250, 0.250)

Properties
The space group is No. 225. The calculation puts the calculated total energy at -7.383 eV per atom. The density of states at the Fermi level is 5.49 states/eV/f.u. As for the offset from the most stable computed form: 0.183 eV/atom. The calculation puts the density at 14462 kg/m³. For the formation enthalpy at 0 K, the calculation gives 4.78 eV/f.u.

***

InRe3B | PBE | optimized geometry

a b c (Å): 4.203 4.203 4.203
angles (deg): 90.00 90.00 90.00
Fractional coordinates of all 5 atoms:
In (0.500, 0.500, 0.500)
Re (0.000, 0.500, 0.000)
Re (0.000, 0.000, 0.500)
Re (0.500, 0.000, 0.000)
B (0.000, 0.000, 0.000)

Properties
The space group is No. 221. The calculation puts the calculated total energy at -8.907 eV per atom. The density of states at the Fermi level is 4.45 states/eV/f.u. As for the offset from the most stable computed form: 0.000 eV/atom. The calculation puts the density at 15306 kg/m³. For the formation enthalpy at 0 K, the calculation gives 2.23 eV/f.u.

***

In3ReB | PBE | optimized geometry

a b c (Å): 5.219 5.219 5.219
angles (deg): 90.00 90.00 90.00
Fractional coordinates of all 5 atoms:
In (0.000, 0.000, 0.500)
In (0.000, 0.500, 0.000)
B (0.500, 0.500, 0.500)
Re (0.000, 0.000, 0.000)
In (0.500, 0.000, 0.000)

Properties
The space group is No. 221. The calculation puts the calculated total energy at -4.075 eV per atom. The density of states at the Fermi level is 3.71 states/eV/f.u. As for the offset from the most stable computed form: 0.072 eV/atom. The calculation puts the density at 6324 kg/m³. For the formation enthalpy at 0 K, the calculation gives 6.97 eV/f.u.

***

InReB3 | PBE | optimized geometry

a b c (Å): 4.226 4.226 4.226
angles (deg): 90.00 90.00 90.00
Fractional coordinates of all 5 atoms:
B (0.500, 0.000, 0.000)
B (0.000, 0.500, 0.000)
In (0.500, 0.500, 0.500)
B (0.000, 0.000, 0.500)
Re (0.000, 0.000, 0.000)

Properties
The space group is No. 221. The calculation puts the calculated total energy at -6.058 eV per atom. The density of states at the Fermi level is 2.17 states/eV/f.u. As for the offset from the most stable computed form: 0.000 eV/atom. The calculation puts the density at 7335 kg/m³. For the formation enthalpy at 0 K, the calculation gives 4.93 eV/f.u.